Here is MgCuPO2 at its PBEsol-relaxed geometry from Alexandria. Energies are from SCAN.

a b c (Å): 3.6886 3.6886 5.3487
angles (deg): 90.00 90.00 90.00
Last column: nearest neighbours and their distance in Å.
Element x y z (fractional)
1 P 0.0000 0.0000 0.5000  4 Cu 2.61, 2 Mg 2.67
2 Mg 0.0000 0.0000 0.0000  4 O 1.84
3 O 0.0000 0.5000 0.0000  2 Mg 1.84
4 O 0.5000 0.0000 0.0000  2 Mg 1.84
5 Cu 0.5000 0.5000 0.5000  4 P 2.61

Output
Energy relative to the lowest polymorph listed for this composition = 86.1 meV/atom